# Li4MnFe3B4O12 PBE+U relaxed
data_Li4MnFe3B4O12
_chemical_formula_sum 'Li4 Mn1 Fe3 B4 O12'
_symmetry_space_group_name_H-M 'P 1'
_symmetry_Int_Tables_number 1
_cell_length_a 5.255
_cell_length_b 6.179
_cell_length_c 7.876
_cell_angle_alpha 78.12
_cell_angle_beta 88.08
_cell_angle_gamma 89.07
loop_
_symmetry_equiv_pos_as_xyz
'x,y,z'
loop_
_atom_site_label
_atom_site_type_symbol
_atom_site_fract_x
_atom_site_fract_y
_atom_site_fract_z
Li1 Li 0.000 0.000 0.000
Li2 Li 0.140 0.738 0.610
Li3 Li 0.497 0.496 0.499
Li4 Li 0.643 0.240 0.109
Mn1 Mn 0.647 0.957 0.482
Fe1 Fe 0.147 0.463 0.979
Fe2 Fe 0.497 0.782 0.132
Fe3 Fe 0.999 0.277 0.632
B1 B 0.149 0.107 0.306
B2 B 0.497 0.134 0.801
B3 B 0.644 0.603 0.811
B4 B 0.995 0.632 0.300
O1 O 0.040 0.028 0.472
O2 O 0.109 0.713 0.136
O3 O 0.141 0.533 0.437
O4 O 0.236 0.166 0.826
O5 O 0.408 0.072 0.277
O6 O 0.496 0.700 0.674
O7 O 0.530 0.526 0.976
O8 O 0.611 0.215 0.637
O9 O 0.644 0.032 0.937
O10 O 0.733 0.663 0.324
O11 O 0.905 0.571 0.787
O12 O 0.998 0.208 0.171
# **Relative energy among the computed polymorphs**: 0.0032 eV/atom
# **Spin magnetization**: 0.71 μB/atom